Dy12Tm3Mg: relaxed, PBE-GGA.

- symmetry = P4/mmm (123)
- crystal system = tetragonal
- formation enthalpy at 0 K (eV per atom) = 0.020

abc: 4.9637 4.9637 19.9354
angles: 90.00 90.00 90.00
Atoms (fractional coordinates):
1 Dy 0.0000 0.0000 0.0000
2 Dy 0.0000 0.0000 0.2464
3 Dy 0.0000 0.0000 0.5000
4 Dy 0.0000 0.0000 0.7536
5 Dy 0.0000 0.5000 0.1237
6 Dy 0.0000 0.5000 0.3741
7 Dy 0.0000 0.5000 0.6259
8 Dy 0.0000 0.5000 0.8763
9 Dy 0.5000 0.0000 0.1237
10 Dy 0.5000 0.0000 0.3741
11 Dy 0.5000 0.0000 0.6259
12 Dy 0.5000 0.0000 0.8763
13 Tm 0.5000 0.5000 0.2485
14 Tm 0.5000 0.5000 0.5000
15 Tm 0.5000 0.5000 0.7515
16 Mg 0.5000 0.5000 0.0000